A plane-wave DFT calculation with PBE was carried out for NpCoGe2 after structural relaxation.

The structure in extended XYZ format:
```
16
Lattice="-1.805 3.918 -0.439 -1.653 -1.438 -6.034 -8.715 -3.650 3.257" Properties=species:S:1:pos:R:3 pbc="T T T"
Ge -8.731 -0.168 2.279
Ge -4.223 -0.957 -1.877
Ge -2.875 1.758 -4.602
Ge -6.404 -2.090 -3.022
Ge -7.950 -0.214 -1.339
Ge -9.297 -2.928 1.386
Ge -5.769 0.919 -0.194
Ge -3.442 -1.003 -5.495
Np -6.569 -1.728 0.879
Np -5.604 0.558 -4.095
Np -8.877 -3.068 -1.584
Np -3.296 1.897 -1.632
Co -9.712 -0.853 0.206
Co -8.181 -0.584 -3.692
Co -2.461 -0.318 -3.422
Co -3.992 -0.586 0.476
```

Calculated total energy: -7.5153 eV/atom
Symmetry: No. 62
E_form: -0.8 eV per formula unit